The following is a GGA+U calculation of an optimized crystal structure of CrCo3O, from Alexandria via LeMat-Bulk.

Calculated values
* uncorrected energy: -4.62 eV per atom
* total magnetization: 5.6 μB per cell

Unit cell a=3.8381 b=3.8381 c=3.8381 alpha=90.00 beta=90.00 gamma=90.00
Closest atoms and distances in Å follow each position.
Space group Pm-3m (No. 221)
Inequivalent atoms, fractional coordinates:
Cr 0.0000 0.0000 0.0000 [1 per cell]  12 Co 2.71
Co 0.0000 0.5000 0.5000 [3 per cell]  2 O 1.92
O 0.5000 0.5000 0.5000 [1 per cell]  6 Co 1.92